# Re2PbAu, relaxed, DFT PBE-GGA
data_Re2PbAu
_chemical_formula_sum 'Re4 Pb2 Au2'
_cell_length_a 8.443
_cell_length_b 3.317
_cell_length_c 5.862
_cell_angle_alpha 90.00
_cell_angle_beta 99.47
_cell_angle_gamma 90.00
_space_group_name_H-M_alt 'C 1 m 1'
_space_group_IT_number 8
_space_group_name_Hall 'C -2y'
loop_
_atom_site_label
_atom_site_fract_x
_atom_site_fract_y
_atom_site_fract_z
Re1 0.000 0.000 0.000
Re2 0.208 0.500 0.129
Pb1 0.223 0.000 0.680
Au1 0.452 0.000 0.384
# E, eV per cell: -57.87
# Calculated volume, Å³ per atom: 20.2